No. 1
Density functional theory data (PBE-GGA) for Pr3Tl2Cd3 after structural relaxation.

abc: 4.6168 5.2298 10.0375
angles: 105.04 103.30 90.00
Closest atoms and distances in Å follow each position.
Fractional coordinates of all 8 atoms:
Tl: 0.7595 0.7607 0.5191  2 Cd 3.17, 4 Pr 3.27-3.28, 4 Tl 3.50-3.52
Cd: 0.3748 0.8762 0.7496  2 Tl 3.17, 6 Pr 3.30-3.49, 2 Cd 3.52
Tl: 0.2405 0.2393 0.4809  2 Cd 3.17, 4 Pr 3.27-3.28, 4 Tl 3.50-3.52
Pr: 0.1355 0.6339 0.2710  4 Tl 3.27-3.28, 6 Cd 3.44-3.49, 2 Pr 3.65-3.66
Cd: 0.6252 0.1238 0.2504  2 Tl 3.17, 6 Pr 3.30-3.49, 2 Cd 3.52
Cd: 0.5000 0.5000 0.0000  8 Pr 3.44-3.49, 4 Cd 3.52
Pr: 0.8645 0.3661 0.7290  4 Tl 3.27-3.28, 6 Cd 3.44-3.49, 2 Pr 3.65-3.66
Pr: 0.0000 0.0000 0.0000  8 Cd 3.30-3.49, 4 Pr 3.65-3.66

Values from the calculation:
The energy relative to the lowest polymorph listed for this composition comes out at 0.020 eV per atom. The value obtained for the volume is 28.41 A^3/atom. As for the total energy: -2.99 eV/atom.


No. 2
Density functional theory data (PBE-GGA) for Y2AgRu after structural relaxation.

abc: 5.7067 5.7067 4.9965
angles: 73.81 73.81 35.01
Closest atoms and distances in Å follow each position.
Fractional coordinates of all 4 atoms:
Y: 0.7602 0.7602 0.7107  4 Ru 2.95-3.12, 3 Ag 2.98-3.26, 1 Y 3.30
Y: 0.9711 0.9711 0.0692  3 Ru 2.93-3.21, 4 Ag 3.02-3.15
Ag: 0.5258 0.5258 0.5183  2 Ru 2.97, 7 Y 2.98-3.26
Ru: 0.2428 0.2428 0.2017  7 Y 2.93-3.21, 2 Ag 2.97

Values from the calculation:
The value obtained for the volume is 22.32 A^3/atom. As for the total energy: -6.41 eV/atom.


No. 3
Density functional theory data (PBE-GGA) for PPtCl after structural relaxation.

abc: 6.5945 6.5945 6.5945
angles: 153.11 153.11 38.40
Closest atoms and distances in Å follow each position.
Fractional coordinates of all 3 atoms:
Pt: 0.6826 0.6826 0.0000  4 P 2.50
P: 0.2831 0.2831 0.0000  4 Pt 2.50
Cl: 0.0342 0.0342 0.0000  4 Pt 2.85, 4 Cl 3.07, 1 P 3.10

Values from the calculation:
The energy relative to the lowest polymorph listed for this composition comes out at 0.443 eV per atom. The value obtained for the volume is 19.52 A^3/atom. As for the total energy: -4.36 eV/atom.


No. 4
Density functional theory data (PBE-GGA) for Ba3Hg6Bi5 after structural relaxation.

abc: 5.3889 10.8280 15.8940
angles: 90.00 90.00 90.00
Closest atoms and distances in Å follow each position.
Fractional coordinates of all 28 atoms:
Bi: 0.5000 0.2108 0.5000  6 Hg 3.20-3.53, 2 Bi 3.45
Bi: 0.5000 0.1351 0.1569  5 Hg 3.06-3.23
Hg: 0.0000 0.5864 0.6881  4 Bi 3.06-3.24
Hg: 0.0000 0.5864 0.3119  4 Bi 3.06-3.24
Hg: 0.5000 0.4136 0.8119  4 Bi 3.06-3.24
Ba: 0.5000 0.7518 0.8077  8 Hg 3.59-3.83, 4 Bi 3.81-3.91
Ba: 0.0000 0.2113 0.0000  4 Hg 3.64-3.92, 6 Bi 3.76-3.77
Ba: 0.5000 0.7887 0.5000  4 Hg 3.64-3.92, 6 Bi 3.76-3.77
Bi: 0.0000 0.8649 0.3431  5 Hg 3.06-3.23
Bi: 0.5000 0.4828 0.3865  5 Hg 3.15-3.31, 1 Bi 3.45
Bi: 0.0000 0.5172 0.8865  5 Hg 3.15-3.31, 1 Bi 3.45
Hg: 0.5000 0.4136 0.1881  4 Bi 3.06-3.24
Hg: 0.5000 0.0300 0.3406  4 Bi 3.13-3.23
Bi: 0.0000 0.7892 0.0000  6 Hg 3.20-3.53, 2 Bi 3.45
Hg: 0.5000 0.0300 0.6594  4 Bi 3.13-3.23
Hg: 0.0000 0.0522 0.5000  4 Bi 3.20-3.21
Hg: 0.0000 0.9700 0.1594  4 Bi 3.13-3.23
Hg: 0.0000 0.9700 0.8406  4 Bi 3.13-3.23
Bi: 0.5000 0.1351 0.8431  5 Hg 3.06-3.23
Ba: 0.5000 0.7518 0.1923  8 Hg 3.59-3.83, 4 Bi 3.81-3.91
Ba: 0.0000 0.2482 0.3077  8 Hg 3.59-3.83, 4 Bi 3.81-3.91
Hg: 0.5000 0.9478 0.0000  4 Bi 3.20-3.21
Hg: 0.5000 0.5786 0.0000  6 Bi 3.31-3.53, 2 Hg 3.48, 2 Ba 3.59
Bi: 0.0000 0.8649 0.6569  5 Hg 3.06-3.23
Ba: 0.0000 0.2482 0.6923  8 Hg 3.59-3.83, 4 Bi 3.81-3.91
Bi: 0.0000 0.5172 0.1135  5 Hg 3.15-3.31, 1 Bi 3.45
Bi: 0.5000 0.4828 0.6135  5 Hg 3.15-3.31, 1 Bi 3.45
Hg: 0.0000 0.4214 0.5000  6 Bi 3.31-3.53, 2 Hg 3.48, 2 Ba 3.59

Values from the calculation:
The value obtained for the volume is 33.12 A^3/atom. As for the total energy: -2.35 eV/atom.


No. 5
Density functional theory data (PBE-GGA) for NdY3P4 after structural relaxation.

abc: 4.0552 7.0197 7.0197
angles: 70.54 90.00 90.00
Closest atoms and distances in Å follow each position.
Fractional coordinates of all 8 atoms:
Nd: 0.5000 0.5001 0.0000  6 P 2.90
P: 0.5000 0.7531 0.2530  5 Y 2.83-2.87, 1 Nd 2.90
P: 0.0000 0.7562 0.7439  4 Y 2.83-2.87, 2 Nd 2.90
P: 0.4999 0.2471 0.7470  5 Y 2.83-2.87, 1 Nd 2.90
Y: 0.5000 0.0001 0.5000  6 P 2.83
Y: 0.0000 0.0001 0.0000  6 P 2.87
Y: 0.0000 0.5001 0.5000  6 P 2.87
P: 0.0000 0.2441 0.2560  4 Y 2.83-2.87, 2 Nd 2.90

Values from the calculation:
The value obtained for the volume is 23.55 A^3/atom. As for the total energy: -7.32 eV/atom.


No. 6
Density functional theory data (PBE-GGA) for CeYCo after structural relaxation.

abc: 6.9701 7.2264 6.7821
angles: 60.41 90.00 90.00
Closest atoms and distances in Å follow each position.
Fractional coordinates of all 12 atoms:
Co: 0.9464 0.3160 0.6732  2 Ce 2.35-2.55
Ce: 0.2579 0.4415 0.2943  2 Co 2.35-2.55
Ce: 0.7579 0.5585 0.2057  2 Co 2.35-2.55
Y: 0.1139 0.9171 0.8162  3 Co 2.80-3.04
Y: 0.6139 0.0829 0.6838  3 Co 2.80-3.04
Ce: 0.7421 0.5585 0.7057  2 Co 2.35-2.55
Y: 0.3861 0.9171 0.3162  3 Co 2.80-3.04
Co: 0.5536 0.3160 0.1732  2 Ce 2.35-2.55
Co: 0.0536 0.6840 0.3268  2 Ce 2.35-2.55
Ce: 0.2421 0.4415 0.7943  2 Co 2.35-2.55
Y: 0.8861 0.0829 0.1838  3 Co 2.80-3.04
Co: 0.4464 0.6840 0.8268  2 Ce 2.35-2.55

Values from the calculation:
The energy relative to the lowest polymorph listed for this composition comes out at 0.030 eV per atom. The value obtained for the volume is 24.75 A^3/atom. As for the total energy: -6.65 eV/atom.


No. 7
Density functional theory data (PBE-GGA) for ErTm3Th4Se8 after structural relaxation.

abc: 7.9783 8.4997 7.9773
angles: 117.99 120.00 90.00
Closest atoms and distances in Å follow each position.
Fractional coordinates of all 16 atoms:
Er: 0.0000 0.5000 0.0000  6 Se 2.83
Se: 0.2435 0.7289 0.9855  2 Tm 2.82, 1 Er 2.83, 3 Th 3.00-3.01
Se: 0.2572 0.2717 0.5144  3 Tm 2.82, 3 Th 3.01
Tm: 0.5000 0.5000 0.5000  6 Se 2.82
Se: 0.2434 0.7289 0.4868  2 Tm 2.82, 1 Er 2.83, 3 Th 3.00-3.01
Th: 0.5000 0.0000 0.5000  6 Se 3.01
Tm: 0.5000 0.5000 0.0000  6 Se 2.82
Se: 0.7566 0.2711 0.5132  2 Tm 2.82, 1 Er 2.83, 3 Th 3.00-3.01
Se: 0.7420 0.7289 0.9855  2 Tm 2.82, 1 Er 2.83, 3 Th 3.00-3.01
Se: 0.7565 0.2711 0.0145  2 Tm 2.82, 1 Er 2.83, 3 Th 3.00-3.01
Tm: 0.0000 0.5000 0.5000  6 Se 2.82
Se: 0.7428 0.7283 0.4856  3 Tm 2.82, 3 Th 3.01
Th: 0.5000 0.0000 0.0000  6 Se 3.00
Th: 0.0000 0.0000 0.0000  6 Se 3.01
Se: 0.2580 0.2711 0.0145  2 Tm 2.82, 1 Er 2.83, 3 Th 3.00-3.01
Th: 0.0000 0.0000 0.5000  6 Se 3.01

Values from the calculation:
The value obtained for the volume is 24.61 A^3/atom. As for the total energy: -6.33 eV/atom.


No. 8
Density functional theory data (PBE-GGA) for LaYIr2 after structural relaxation.

abc: 6.1476 6.1476 6.1476
angles: 59.22 151.45 129.30
Closest atoms and distances in Å follow each position.
Fractional coordinates of all 4 atoms:
Y: 0.0000 0.0000 0.0000  2 Ir 2.67
La: 0.0000 0.5000 0.5000  2 Ir 2.67
Ir: 0.0000 0.7501 0.7501  1 Y 2.67, 1 La 2.67
Ir: 0.0000 0.2499 0.2499  1 Y 2.67, 1 La 2.67

Values from the calculation:
The energy relative to the lowest polymorph listed for this composition comes out at 1.165 eV per atom. The value obtained for the volume is 21.33 A^3/atom. As for the total energy: -6.77 eV/atom.